[1]
# NaInMo2

NaInMo2 after structural relaxation (PBE, Alexandria).

It has space group I-42d (No. 122), with a = 8.018 Å, b = 8.018 Å, c = 5.114 Å, α = 90.00°, β = 90.00° and γ = 90.00°. The inequivalent atoms are Na at (0.000, 0.000, 0.000), In at (0.000, 0.000, 0.500) and Mo at (0.216, 0.250, 0.625).

The calculation puts the density of states at the Fermi level at 16.07 states/eV per cell. Its total energy is -5.1752 eV/atom. The calculation puts the formation energy at 1255 meV/atom.

***

[2]
# NaIn2Mo2

NaIn2Mo2 after structural relaxation (PBE, Alexandria).

It has space group P4/mbm (No. 127), with a = 8.511 Å, b = 8.511 Å, c = 2.903 Å, α = 90.00°, β = 90.00° and γ = 90.00°. The inequivalent atoms are Na at (0.000, 0.000, 0.000), In at (0.189, 0.311, 0.500) and Mo at (0.101, 0.601, 0.000).

The calculation puts the density of states at the Fermi level at 9.22 states/eV per cell. For the relative energy among the computed polymorphs, the calculation gives 0 meV/atom. Its total energy is -5.3430 eV/atom. The calculation puts the formation energy at 349 meV/atom.

***

[3]
# NaIn3Mo

NaIn3Mo after structural relaxation (PBE, Alexandria).

It has space group Pm-3m (No. 221), with a = 5.313 Å, b = 5.313 Å, c = 5.313 Å, α = 90.00°, β = 90.00° and γ = 90.00°. The inequivalent atoms are Na at (0.000, 0.000, 0.000), In at (0.000, 0.500, 0.500) and Mo at (0.500, 0.500, 0.500).

The calculation puts the density of states at the Fermi level at 3.28 states/eV per cell. For the relative energy among the computed polymorphs, the calculation gives 0 meV/atom. Its total energy is -3.7768 eV/atom. The calculation puts the formation energy at 296 meV/atom.

***

[4]
# NaInMo3

NaInMo3 after structural relaxation (PBE, Alexandria).

It has space group Pm-3m (No. 221), with a = 4.593 Å, b = 4.593 Å, c = 4.593 Å, α = 90.00°, β = 90.00° and γ = 90.00°. The inequivalent atoms are Na at (0.000, 0.000, 0.000), In at (0.500, 0.500, 0.500) and Mo at (0.000, 0.000, 0.500).

The calculation puts the density of states at the Fermi level at 9.09 states/eV per cell. For the relative energy among the computed polymorphs, the calculation gives 0 meV/atom. Its total energy is -4.9534 eV/atom. The calculation puts the formation energy at 2357 meV/atom.